No. 1
PBE-GGA TlSbOs4, relaxed; space group = F-43m, No. 216
1.0
0.000 3.775 3.775
3.775 0.000 3.775
3.775 3.775 0.000
Os Tl Sb
4 1 1
Direct
0.375 0.874 0.375
0.874 0.375 0.375
0.375 0.375 0.375
0.375 0.375 0.874
0.000 0.000 0.000
0.750 0.750 0.750


No. 2
PBE-GGA Tl2SbOs, relaxed; energy relative to the lowest polymorph listed for this composition = 0 meV per atom; space group = Pm, No. 6
1.0
3.271 0.000 0.000
0.000 3.250 0.057
0.000 3.355 9.303
Tl Sb Os
2 1 1
Direct
0.000 0.137 0.005
0.500 0.191 0.300
0.500 0.752 0.676
0.000 0.420 0.519


No. 3
PBE-GGA Tl2SbOs, relaxed; energy relative to the lowest polymorph listed for this composition = 650 meV per atom; space group = Cmmm, No. 65
1.0
-0.688 1.157 -5.360
5.193 -1.654 0.913
-0.867 -3.022 -0.541
Tl Os Sb
2 1 1
Direct
0.000 0.000 0.000
0.500 0.500 0.000
0.500 0.000 0.500
0.000 0.500 0.500


No. 4
PBE-GGA Tl2SbOs, relaxed; energy relative to the lowest polymorph listed for this composition = 284 meV per atom; space group = P2/m, No. 10
1.0
4.434 0.000 0.000
0.000 5.769 0.700
0.000 3.352 5.081
Os Sb Tl
1 1 2
Direct
0.500 0.250 0.250
0.500 0.750 0.750
0.000 0.399 0.419
0.000 0.101 0.081


No. 5
PBE-GGA Tl2SbOs, relaxed; energy relative to the lowest polymorph listed for this composition = 621 meV per atom; space group = P4/mmm, No. 123
1.0
5.791 0.000 0.000
0.000 4.077 0.000
0.000 0.000 4.077
Sb Tl Os
1 2 1
Direct
0.500 0.000 0.500
0.000 0.500 0.500
0.000 0.000 0.000
0.500 0.500 0.000


No. 6
PBE-GGA Tl2Sb2Os, relaxed; energy relative to the lowest polymorph listed for this composition = 0 meV per atom; space group = P4/mbm, No. 127
1.0
6.849 0.000 0.000
0.000 6.849 0.000
0.000 0.000 5.840
Tl Sb Os
4 4 2
Direct
0.181 0.681 0.500
0.681 0.819 0.500
0.819 0.319 0.500
0.319 0.181 0.500
0.152 0.348 0.000
0.348 0.848 0.000
0.652 0.152 0.000
0.848 0.652 0.000
0.500 0.500 0.000
0.000 0.000 0.000


No. 7
PBE-GGA Tl2SbOs, relaxed; energy relative to the lowest polymorph listed for this composition = 569 meV per atom; space group = C2/m, No. 12
1.0
-5.489 -2.993 0.028
4.097 0.038 4.722
-1.769 1.318 2.761
Tl Os Sb
2 1 1
Direct
0.000 0.000 0.000
0.500 0.500 0.000
0.500 0.000 0.500
0.000 0.500 0.500


No. 8
PBE-GGA Tl2Sb2Os, relaxed; energy relative to the lowest polymorph listed for this composition = 825 meV per atom; space group = I4/mmm, No. 139
1.0
-0.714 1.148 -3.773
-2.181 -3.309 -0.595
-8.928 3.352 0.580
Tl Sb Os
2 2 1
Direct
0.582 0.582 0.835
0.418 0.418 0.165
0.250 0.750 0.500
0.750 0.250 0.500
0.000 0.000 0.000


No. 9
PBE-GGA Tl2SbOs, relaxed; energy relative to the lowest polymorph listed for this composition = 111 meV per atom; space group = Cm, No. 8
1.0
-2.760 1.012 2.578
-3.757 -1.071 0.157
0.614 -6.911 5.696
Tl Os Sb
2 1 1
Direct
0.012 0.012 0.003
0.236 0.236 0.299
0.494 0.494 0.516
0.758 0.758 0.681


No. 10
PBE-GGA Tl2Sb2Os, relaxed; energy relative to the lowest polymorph listed for this composition = 610 meV per atom; space group = I4/mmm, No. 139
1.0
-3.091 -2.205 -0.807
2.205 -2.266 -2.253
1.454 -7.520 5.639
Tl Sb Os
2 2 1
Direct
0.750 0.250 0.500
0.250 0.750 0.500
0.422 0.422 0.156
0.578 0.578 0.844
0.000 0.000 0.000


No. 11
PBE-GGA Tm5Sb2Os, relaxed; space group = Cmcm, No. 63
1.0
5.491 0.000 0.000
-2.746 7.470 0.000
0.000 0.000 14.481
Sb Tm Os
4 10 2
Direct
0.855 0.711 0.062
0.145 0.289 0.938
0.855 0.711 0.438
0.145 0.289 0.562
0.293 0.585 0.750
0.285 0.570 0.397
0.285 0.570 0.103
0.051 0.102 0.374
0.715 0.430 0.897
0.949 0.898 0.874
0.715 0.430 0.603
0.051 0.102 0.126
0.949 0.898 0.626
0.707 0.415 0.250
0.821 0.642 0.750
0.179 0.358 0.250


No. 12
PBE-GGA TmSbOs, relaxed; space group = P-1, No. 2
1.0
-3.647 -2.247 -3.438
-6.323 -3.323 -1.606
0.344 9.187 2.720
Sb Tm Os
2 2 2
Direct
0.194 0.956 0.114
0.186 0.695 0.319
0.775 0.681 0.871
0.604 0.970 0.563
0.773 0.249 0.571
0.606 0.402 0.862


No. 13
PBE-GGA TmSb12Os4, relaxed; space group = Im-3, No. 204
1.0
-4.996 -1.652 6.220
6.011 -5.497 -0.189
3.160 7.448 0.958
Sb Os Tm
12 4 1
Direct
0.181 0.844 0.337
0.337 0.493 0.156
0.156 0.337 0.493
0.844 0.663 0.507
0.819 0.156 0.663
0.156 0.663 0.819
0.493 0.156 0.337
0.507 0.844 0.663
0.663 0.507 0.844
0.337 0.181 0.844
0.663 0.819 0.156
0.844 0.337 0.181
0.000 0.000 0.500
0.500 0.500 0.500
0.000 0.500 0.000
0.500 0.000 0.000
0.000 0.000 0.000


No. 14
PBE-GGA Tm6Sb3Os, relaxed; space group = Cmc2_1, No. 36
1.0
-1.564 0.177 -6.638
-8.591 -3.083 1.942
0.625 9.311 0.101
Sb Os Tm
6 2 12
Direct
0.757 0.557 0.443
0.464 0.280 0.052
0.464 0.948 0.720
0.964 0.720 0.948
0.257 0.443 0.557
0.964 0.052 0.280
0.617 0.854 0.146
0.117 0.146 0.854
0.727 0.889 0.445
0.227 0.111 0.555
0.581 0.224 0.346
0.768 0.248 0.752
0.081 0.346 0.224
0.799 0.033 0.967
0.227 0.445 0.889
0.727 0.555 0.111
0.299 0.967 0.033
0.081 0.776 0.654
0.581 0.654 0.776
0.268 0.752 0.248


No. 15
PBE-GGA U6SbOs2, relaxed; space group = Immm, No. 71
1.0
2.824 0.000 0.827
0.626 7.730 3.095
-0.873 1.213 8.215
U Sb Os
6 1 2
Direct
0.328 0.002 0.343
0.672 0.657 0.998
0.500 0.337 0.663
0.500 0.663 0.337
0.328 0.343 0.002
0.672 0.998 0.657
0.000 0.000 0.000
0.844 0.656 0.656
0.156 0.344 0.344


No. 16
PBE-GGA VSb3Os, relaxed; energy relative to the lowest polymorph listed for this composition = 0 meV per atom; space group = Pm-3m, No. 221
1.0
5.150 0.000 0.000
0.000 5.150 0.000
0.000 0.000 5.150
V Sb Os
1 3 1
Direct
0.500 0.500 0.500
0.000 0.000 0.500
0.000 0.500 0.000
0.500 0.000 0.000
0.000 0.000 0.000


No. 17
PBE-GGA V3SbOs, relaxed; energy relative to the lowest polymorph listed for this composition = 0 meV per atom; space group = Pm-3m, No. 221
1.0
-1.826 -0.207 -4.262
4.150 -1.164 -1.721
-0.992 -4.488 0.643
V Sb Os
3 1 1
Direct
0.000 0.500 0.000
0.500 0.000 0.000
0.000 0.000 0.500
0.500 0.500 0.500
0.000 0.000 0.000


No. 18
PBE-GGA VSb3Os, relaxed; energy relative to the lowest polymorph listed for this composition = 230 meV per atom; space group = Pm-3m, No. 221
1.0
-1.070 2.837 3.983
-0.983 -4.119 2.670
4.790 -0.211 1.437
Sb V Os
3 1 1
Direct
0.000 0.500 0.000
0.500 0.000 0.000
0.000 0.000 0.500
0.000 0.000 0.000
0.500 0.500 0.500


No. 19
PBE-GGA VSbOs2, relaxed; space group = I-42d, No. 122
1.0
-1.183 2.168 -3.277
2.392 -2.318 -2.397
-5.892 -5.496 -4.077
Os Sb V
4 2 2
Direct
0.572 0.125 0.250
0.375 0.428 0.750
0.178 0.625 0.250
0.875 0.822 0.750
0.750 0.250 0.500
0.000 0.000 0.000
0.500 0.500 0.000
0.250 0.750 0.500


No. 20
PBE-GGA V2SbOs2, relaxed; space group = P4/mbm, No. 127
1.0
7.434 0.000 0.000
0.000 7.434 0.000
0.000 0.000 2.894
V Os Sb
4 4 2
Direct
0.652 0.848 0.500
0.348 0.152 0.500
0.152 0.652 0.500
0.848 0.348 0.500
0.365 0.865 0.000
0.865 0.635 0.000
0.135 0.365 0.000
0.635 0.135 0.000
0.000 0.000 0.000
0.500 0.500 0.000


What are the total magnetic moment values for these records? In order: 0.00 0.00 0.27 0.00 0.00 0.00 0.12 0.50 0.00 0.19 0.00 0.00 0.00 0.00 0.00 0.70 0.53 0.48 0.16 0.00 μB per atom.
What are the energy relative to the elements, uncorrected values for these records? In order: 5.85 1.35 3.95 2.48 3.83 1.48 3.62 5.61 1.79 4.53 -2.21 -0.58 -1.62 -5.22 0.72 5.07 4.27 6.22 2.71 0.26 eV/f.u..